{"formula": "PmAl2Cu2", "functional": "PBE-GGA", "state": "optimized geometry", "cell": [[4.207, 0.000, 0.000], [0.000, 4.207, 0.000], [0.000, 0.000, 10.128]], "species": ["Pm", "Pm", "Al", "Al", "Al", "Al", "Cu", "Cu", "Cu", "Cu"], "fractional_positions": [[0.250, 0.250, 0.245], [0.750, 0.750, 0.755], [0.250, 0.250, 0.873], [0.250, 0.750, 0.500], [0.750, 0.250, 0.500], [0.750, 0.750, 0.127], [0.250, 0.250, 0.633], [0.250, 0.750, 0.000], [0.750, 0.250, 0.000], [0.750, 0.750, 0.367]], "e_tot_ev_per_atom": -4.34}